## Ag2WO4 (PBE with a Hubbard U)

Data for Ag2WO4 after structural relaxation.

abc: 6.2191 10.3828 12.6042
angles: 90.00 90.00 90.00
Atoms (fractional coordinates):
Ag (0.0000, 0.0000, 0.0000)
Ag (0.0000, 0.0000, 0.2855)
Ag (0.0000, 0.0000, 0.7145)
Ag (0.0000, 0.5000, 0.0000)
Ag (0.0103, 0.2470, 0.1492)
Ag (0.0103, 0.2470, 0.8508)
Ag (0.4897, 0.7470, 0.3508)
Ag (0.4897, 0.7470, 0.6492)
Ag (0.5000, 0.0000, 0.5000)
Ag (0.5000, 0.5000, 0.2145)
Ag (0.5000, 0.5000, 0.5000)
Ag (0.5000, 0.5000, 0.7855)
Ag (0.5103, 0.2530, 0.3508)
Ag (0.5103, 0.2530, 0.6492)
Ag (0.9897, 0.7530, 0.1492)
Ag (0.9897, 0.7530, 0.8508)
W (0.0000, 0.5000, 0.3599)
W (0.0000, 0.5000, 0.6401)
W (0.0105, 0.2279, 0.5000)
W (0.4895, 0.7279, 0.0000)
W (0.5000, 0.0000, 0.1401)
W (0.5000, 0.0000, 0.8599)
W (0.5105, 0.2721, 0.0000)
W (0.9895, 0.7721, 0.5000)
O (0.1594, 0.4166, 0.5000)
O (0.1669, 0.6544, 0.3915)
O (0.1669, 0.6544, 0.6085)
O (0.1822, 0.1748, 0.3890)
O (0.1822, 0.1748, 0.6110)
O (0.1886, 0.4246, 0.2686)
O (0.1886, 0.4246, 0.7314)
O (0.2071, 0.8897, 0.5000)
O (0.2929, 0.3897, 0.0000)
O (0.3114, 0.9246, 0.2314)
O (0.3114, 0.9246, 0.7686)
O (0.3178, 0.6748, 0.1110)
O (0.3178, 0.6748, 0.8890)
O (0.3331, 0.1544, 0.1085)
O (0.3331, 0.1544, 0.8915)
O (0.3406, 0.9166, 0.0000)
O (0.6594, 0.0834, 0.0000)
O (0.6669, 0.8456, 0.1085)
O (0.6669, 0.8456, 0.8915)
O (0.6822, 0.3252, 0.1110)
O (0.6822, 0.3252, 0.8890)
O (0.6886, 0.0754, 0.2314)
O (0.6886, 0.0754, 0.7686)
O (0.7071, 0.6103, 0.0000)
O (0.7929, 0.1103, 0.5000)
O (0.8114, 0.5754, 0.2686)
O (0.8114, 0.5754, 0.7314)
O (0.8178, 0.8252, 0.3890)
O (0.8178, 0.8252, 0.6110)
O (0.8331, 0.3456, 0.3915)
O (0.8331, 0.3456, 0.6085)
O (0.8406, 0.5834, 0.5000)

Total energy ... -5.815 eV per atom